MnPI3 | PBE | optimized geometry

The space group is Pm-3m (No. 221) and the conventional cell measures 5.5151, 5.5151 and 5.5151 Å, with angles of 90.00, 90.00 and 90.00 degrees. The distinct sites, in fractional coordinates, are Mn at (0.0000, 0.0000, 0.0000), P at (0.5000, 0.5000, 0.5000) and I at (0.0000, 0.5000, 0.5000).

The total magnetic moment comes out at 1.145 μB per atom. The uncorrected formation energy is 0.529 eV per atom. The calculation puts the mass density at 4619 kg/m3. The energy relative to the lowest polymorph listed for this composition comes out at 0.000 eV/atom.